# Cr3GaMo

A PBEsol-optimized structure of Cr3GaMo (meta-GGA SCAN, Alexandria via LeMat-Bulk).

Cell: 4.541 4.541 4.541 Å, 90.00 90.00 90.00°
Positions (direct):
Mo 0.000 0.000 0.000
Cr 0.500 0.000 0.000
Cr 0.000 0.000 0.500
Cr 0.000 0.500 0.000
Ga 0.500 0.500 0.500

Properties
For the energy above the most stable polymorph in this dataset, the calculation gives 0.000 eV per atom. As for the formation energy: 1.31 eV/atom. The calculation puts the density of states at the Fermi level at 0.879 states/eV/atom.